NdTmScAg: relaxed, GGA-PBE.

Values from the calculation:
Energy relative to the elements in meV per atom: 41.2
Spin magnetization in μB per formula unit: 0.0
Distance to the lowest polymorph of the same formula in meV per atom: 150.4
Final energy in eV per atom: -4.56

CIF file:
```
data_NdTmScAg
_space_group_name_H-M_alt 'F -4 3 m'
_space_group_IT_number 216
_space_group_name_Hall 'F -4 2 3'
_cell_length_a 7.506
_cell_length_b 7.506
_cell_length_c 7.506
_cell_angle_alpha 90.00
_cell_angle_beta 90.00
_cell_angle_gamma 90.00
loop_
_atom_site_label
_atom_site_type_symbol
_atom_site_fract_x
_atom_site_fract_y
_atom_site_fract_z
_atom_site_occupancy
Nd1 Nd 0.000 0.000 0.000 1
Tm1 Tm 0.000 0.000 0.500 1
Sc1 Sc 0.250 0.250 0.750 1
Ag1 Ag 0.250 0.250 0.250 1
```